# ErTm4 (PBE, relaxed)
# Polymorph energy (0 for the lowest one), meV per atom: 174
# Total energy, eV for the cell shown: -42.87
# Formation energy from the elements, eV per atom: 0.203
# Fermi-level density of states, states/eV/atom: 1.71
data_ErTm4
_space_group_name_H-M_alt 'P 1'
_space_group_IT_number 1
_space_group_name_Hall 'P 1'
_cell_length_a 6.0725
_cell_length_b 6.1853
_cell_length_c 9.0106
_cell_angle_alpha 90.00
_cell_angle_beta 90.00
_cell_angle_gamma 114.10
loop_
_atom_site_label
_atom_site_type_symbol
_atom_site_fract_x
_atom_site_fract_y
_atom_site_fract_z
Er1 Er 0.2500 0.0000 0.8834
Er2 Er 0.7500 0.0000 0.1166
Tm1 Tm 0.0034 0.2549 0.4376
Tm2 Tm 0.5666 0.6625 0.8213
Tm3 Tm 0.4334 0.3375 0.1787
Tm4 Tm 0.9966 0.7451 0.5624
Tm5 Tm 0.9334 0.3375 0.8213
Tm6 Tm 0.5034 0.2549 0.5624
Tm7 Tm 0.4966 0.7451 0.4376
Tm8 Tm 0.0666 0.6625 0.1787